1.
Here is an optimized crystal structure of YAlBi2O6 from the Alexandria database. Energies are from PBE.

The structure belongs to space group P2_1/c (No. 14); the cell edges are 5.5152, 5.9386 and 9.7377 Å and the angles 90.00°, 124.08° and 90.00°. The inequivalent atoms are Y at (0.0000, 0.0000, 0.0000), Al at (0.5000, 0.0000, 0.5000), Bi at (0.2297, 0.0455, 0.7399), O at (0.1597, 0.1714, 0.4573), O at (0.2686, 0.7182, 0.4391) and O at (0.3790, 0.0421, 0.2707).

Its density of states at the Fermi level is 0.00 states/eV/f.u. The formation energy from raw total energies is -2.17 eV/atom.

***

2.
Here is an optimized crystal structure of ZrAlBi2O6 from the Alexandria database. Energies are from PBE.

The structure belongs to space group P2_1/c (No. 14); the cell edges are 5.8966, 5.5158 and 9.6393 Å and the angles 90.00°, 126.06° and 90.00°. The inequivalent atoms are Zr at (0.0000, 0.0000, 0.0000), Al at (0.5000, 0.0000, 0.5000), Bi at (0.2696, 0.0011, 0.7518), O at (0.1767, 0.0008, 0.2627), O at (0.3300, 0.7473, 0.0585) and O at (0.3307, 0.2481, 0.5586).

Its density of states at the Fermi level is 1.23 states/eV/f.u. The formation energy from raw total energies is -2.08 eV/atom.

***

3.
Here is an optimized crystal structure of AlBiOs2 from the Alexandria database. Energies are from PBE.

The structure belongs to space group Fm-3m (No. 225); the cell edges are 6.4243, 6.4243 and 6.4243 Å and the angles 90.00°, 90.00° and 90.00°. The inequivalent atoms are Al at (0.0000, 0.0000, 0.0000), Bi at (0.0000, 0.0000, 0.5000) and Os at (0.2500, 0.2500, 0.2500).

Its density of states at the Fermi level is 0.87 states/eV/f.u. Its energy above the most stable polymorph in this dataset is 0.0 meV per atom. Its energy of formation from the pure elements is 0.470 eV per atom.

***

4.
Here is an optimized crystal structure of AlBiOs2 from the Alexandria database. Energies are from PBE.

The structure belongs to space group I-42d (No. 122); the cell edges are 4.3646, 4.3646 and 17.5356 Å and the angles 90.00°, 90.00° and 90.00°. The inequivalent atoms are Al at (0.0000, 0.0000, 0.0000), Bi at (0.0000, 0.0000, 0.5000) and Os at (0.1347, 0.2500, 0.1250).

Its density of states at the Fermi level is 5.03 states/eV/f.u. Its energy above the most stable polymorph in this dataset is 287.6 meV per atom. Its energy of formation from the pure elements is 0.758 eV per atom.

***

5.
Here is an optimized crystal structure of Al2BiOsRu from the Alexandria database. Energies are from PBE.

The structure belongs to space group P4/mmm (No. 123); the cell edges are 4.7369, 4.7369 and 4.8194 Å and the angles 90.00°, 90.00° and 90.00°. The inequivalent atoms are Al at (0.0000, 0.5000, 0.0000), Bi at (0.0000, 0.0000, 0.5000), Os at (0.5000, 0.5000, 0.0000) and Ru at (0.5000, 0.5000, 0.5000).

Its density of states at the Fermi level is 1.63 states/eV/f.u. Its energy of formation from the pure elements is 0.545 eV per atom.

***

6.
Here is an optimized crystal structure of AlTcBi2Os from the Alexandria database. Energies are from PBE.

The structure belongs to space group P4/mmm (No. 123); the cell edges are 5.3052, 5.3052 and 4.6887 Å and the angles 90.00°, 90.00° and 90.00°. The inequivalent atoms are Al at (0.0000, 0.0000, 0.0000), Tc at (0.5000, 0.5000, 0.0000), Bi at (0.0000, 0.5000, 0.5000) and Os at (0.0000, 0.0000, 0.5000).

Its density of states at the Fermi level is 5.39 states/eV/f.u. Its energy of formation from the pure elements is 1.228 eV per atom.